# 1
A plane-wave DFT calculation with PBE-GGA was carried out for a relaxed Na2TaTiW crystal.

a b c (Å): 4.5707 4.5707 4.8587
angles (deg): 90.00 90.00 90.00
Space group P4/mmm (No. 123)
One atom of each set of equivalent atoms:
Na 0.0000 0.5000 0.0000 [2 per cell]
Ta 0.0000 0.0000 0.5000 [1 per cell]
Ti 0.0000 0.0000 0.0000 [1 per cell]
W 0.5000 0.5000 0.5000 [1 per cell]

- E: -24.383 eV per cell

# 2
A plane-wave DFT calculation with PBE-GGA was carried out for a relaxed NaTaTi2W crystal.

a b c (Å): 4.3386 4.3386 4.9228
angles (deg): 90.00 90.00 90.00
Space group P4/mmm (No. 123)
One atom of each set of equivalent atoms:
Na 0.0000 0.0000 0.0000 [1 per cell]
Ta 0.0000 0.0000 0.5000 [1 per cell]
Ti 0.0000 0.5000 0.0000 [2 per cell]
W 0.5000 0.5000 0.5000 [1 per cell]

- E: -31.641 eV per cell

# 3
A plane-wave DFT calculation with PBE-GGA was carried out for a relaxed NaY2TaTi crystal.

a b c (Å): 5.5943 5.5943 4.7769
angles (deg): 90.00 90.00 90.00
Space group P4/mmm (No. 123)
One atom of each set of equivalent atoms:
Na 0.0000 0.0000 0.0000 [1 per cell]
Y 0.0000 0.5000 0.5000 [2 per cell]
Ta 0.5000 0.5000 0.0000 [1 per cell]
Ti 0.5000 0.5000 0.5000 [1 per cell]

- E: -29.801 eV per cell

# 4
A plane-wave DFT calculation with PBE-GGA was carried out for a relaxed NaTaTl3 crystal.

a b c (Å): 5.5213 5.5213 5.5213
angles (deg): 90.00 90.00 90.00
Space group Pm-3m (No. 221)
One atom of each set of equivalent atoms:
Na 0.0000 0.0000 0.0000 [1 per cell]
Ta 0.5000 0.5000 0.5000 [1 per cell]
Tl 0.0000 0.5000 0.5000 [3 per cell]

- Distance to the lowest polymorph of the same formula: 0 meV/atom

# 5
A plane-wave DFT calculation with PBE-GGA was carried out for a relaxed Na3TaTl crystal.

a b c (Å): 5.9422 5.9422 5.9422
angles (deg): 90.00 90.00 90.00
Space group Pm-3m (No. 221)
One atom of each set of equivalent atoms:
Na 0.0000 0.0000 0.5000 [3 per cell]
Ta 0.0000 0.0000 0.0000 [1 per cell]
Tl 0.5000 0.5000 0.5000 [1 per cell]

- Distance to the lowest polymorph of the same formula: 18 meV/atom

# 6
A plane-wave DFT calculation with PBE-GGA was carried out for a relaxed Na3TaTl crystal.

a b c (Å): 5.6099 5.6099 5.6099
angles (deg): 90.00 90.00 90.00
Space group Pm-3m (No. 221)
One atom of each set of equivalent atoms:
Na 0.0000 0.0000 0.5000 [3 per cell]
Ta 0.5000 0.5000 0.5000 [1 per cell]
Tl 0.0000 0.0000 0.0000 [1 per cell]

- Distance to the lowest polymorph of the same formula: 0 meV/atom

# 7
A plane-wave DFT calculation with PBE-GGA was carried out for a relaxed Na2ZrTaTl crystal.

a b c (Å): 5.0448 5.0448 5.6934
angles (deg): 90.00 90.00 90.00
Space group P4/mmm (No. 123)
One atom of each set of equivalent atoms:
Na 0.0000 0.5000 0.0000 [2 per cell]
Zr 0.0000 0.0000 0.5000 [1 per cell]
Ta 0.5000 0.5000 0.5000 [1 per cell]
Tl 0.0000 0.0000 0.0000 [1 per cell]

- E: -18.083 eV per cell

# 8
A plane-wave DFT calculation with PBE-GGA was carried out for a relaxed Na3TaV crystal.

a b c (Å): 5.5091 5.5091 5.5091
angles (deg): 90.00 90.00 90.00
Space group Pm-3m (No. 221)
One atom of each set of equivalent atoms:
Na 0.0000 0.0000 0.5000 [3 per cell]
Ta 0.5000 0.5000 0.5000 [1 per cell]
V 0.0000 0.0000 0.0000 [1 per cell]

- Distance to the lowest polymorph of the same formula: 0 meV/atom

# 9
A plane-wave DFT calculation with PBE-GGA was carried out for a relaxed NaTaV2 crystal.

a b c (Å): 3.8470 3.8470 18.8067
angles (deg): 90.00 90.00 90.00
Space group I-42d (No. 122)
One atom of each set of equivalent atoms:
Na 0.0000 0.0000 0.0000 [4 per cell]
Ta 0.0000 0.0000 0.5000 [4 per cell]
V 0.2193 0.2500 0.6250 [8 per cell]

- Distance to the lowest polymorph of the same formula: 401 meV/atom

# 10
A plane-wave DFT calculation with PBE-GGA was carried out for a relaxed NaTaV2 crystal.

a b c (Å): 6.4283 6.4283 6.4283
angles (deg): 90.00 90.00 90.00
Space group Fm-3m (No. 225)
One atom of each set of equivalent atoms:
Na 0.0000 0.0000 0.0000 [4 per cell]
Ta 0.0000 0.0000 0.5000 [4 per cell]
V 0.2500 0.2500 0.2500 [8 per cell]

- Distance to the lowest polymorph of the same formula: 0 meV/atom

# 11
A plane-wave DFT calculation with PBE-GGA was carried out for a relaxed NaTaW2 crystal.

a b c (Å): 7.3755 7.3755 5.4903
angles (deg): 90.00 90.00 90.00
Space group I-42d (No. 122)
One atom of each set of equivalent atoms:
Na 0.0000 0.0000 0.0000 [4 per cell]
Ta 0.0000 0.0000 0.5000 [4 per cell]
W 0.2464 0.2500 0.6250 [8 per cell]

- Distance to the lowest polymorph of the same formula: 512 meV/atom

# 12
A plane-wave DFT calculation with PBE-GGA was carried out for a relaxed NaTaW2 crystal.

a b c (Å): 6.5293 6.5293 6.5293
angles (deg): 90.00 90.00 90.00
Space group Fm-3m (No. 225)
One atom of each set of equivalent atoms:
Na 0.0000 0.0000 0.0000 [4 per cell]
Ta 0.0000 0.0000 0.5000 [4 per cell]
W 0.2500 0.2500 0.2500 [8 per cell]

- Distance to the lowest polymorph of the same formula: 0 meV/atom

# 13
A plane-wave DFT calculation with PBE-GGA was carried out for a relaxed NaTa2W2 crystal.

a b c (Å): 8.7450 8.7450 2.6250
angles (deg): 90.00 90.00 90.00
Space group P4/mbm (No. 127)
One atom of each set of equivalent atoms:
Na 0.0000 0.0000 0.0000 [2 per cell]
Ta 0.1446 0.3554 0.0000 [4 per cell]
W 0.1475 0.6475 0.5000 [4 per cell]

- Distance to the lowest polymorph of the same formula: 0 meV/atom

# 14
A plane-wave DFT calculation with PBE-GGA was carried out for a relaxed NaTa2W2 crystal.

a b c (Å): 3.9841 3.9841 13.4152
angles (deg): 90.00 90.00 90.00
Space group I4/mmm (No. 139)
One atom of each set of equivalent atoms:
Na 0.0000 0.0000 0.0000 [2 per cell]
Ta 0.0000 0.0000 0.3852 [4 per cell]
W 0.0000 0.5000 0.2500 [4 per cell]

- Distance to the lowest polymorph of the same formula: 444 meV/atom

# 15
A plane-wave DFT calculation with PBE-GGA was carried out for a relaxed Na2TaW crystal.

a b c (Å): 8.3330 8.3330 5.0586
angles (deg): 90.00 90.00 90.00
Space group I-42d (No. 122)
One atom of each set of equivalent atoms:
Na 0.2428 0.2500 0.1250 [8 per cell]
Ta 0.0000 0.0000 0.5000 [4 per cell]
W 0.0000 0.0000 0.0000 [4 per cell]

- Distance to the lowest polymorph of the same formula: 0 meV/atom

# 16
A plane-wave DFT calculation with PBE-GGA was carried out for a relaxed NaTaW3 crystal.

a b c (Å): 4.8642 4.8642 4.8642
angles (deg): 90.00 90.00 90.00
Space group Pm-3m (No. 221)
One atom of each set of equivalent atoms:
Na 0.0000 0.0000 0.0000 [1 per cell]
Ta 0.5000 0.5000 0.5000 [1 per cell]
W 0.0000 0.5000 0.5000 [3 per cell]

- Distance to the lowest polymorph of the same formula: 0 meV/atom

# 17
A plane-wave DFT calculation with PBE-GGA was carried out for a relaxed Na2TaW crystal.

a b c (Å): 6.7557 6.7557 6.7557
angles (deg): 90.00 90.00 90.00
Space group Fm-3m (No. 225)
One atom of each set of equivalent atoms:
Na 0.2500 0.2500 0.2500 [8 per cell]
Ta 0.0000 0.0000 0.0000 [4 per cell]
W 0.0000 0.0000 0.5000 [4 per cell]

- Distance to the lowest polymorph of the same formula: 192 meV/atom

# 18
A plane-wave DFT calculation with PBE-GGA was carried out for a relaxed NaTaW3 crystal.

a b c (Å): 4.5007 4.5007 4.5007
angles (deg): 90.00 90.00 90.00
Space group Pm-3m (No. 221)
One atom of each set of equivalent atoms:
Na 0.0000 0.0000 0.0000 [1 per cell]
Ta 0.5000 0.5000 0.5000 [1 per cell]
W 0.0000 0.0000 0.5000 [3 per cell]

- Distance to the lowest polymorph of the same formula: 589 meV/atom

# 19
A plane-wave DFT calculation with PBE-GGA was carried out for a relaxed NaZrTa2W crystal.

a b c (Å): 4.8317 4.8317 5.1238
angles (deg): 90.00 90.00 90.00
Space group P4/mmm (No. 123)
One atom of each set of equivalent atoms:
Na 0.0000 0.0000 0.0000 [1 per cell]
Zr 0.5000 0.5000 0.0000 [1 per cell]
Ta 0.0000 0.5000 0.5000 [2 per cell]
W 0.0000 0.0000 0.5000 [1 per cell]

- E: -38.951 eV per cell

# 20
A plane-wave DFT calculation with PBE-GGA was carried out for a relaxed Na3YTa crystal.

a b c (Å): 5.7869 5.7869 5.7869
angles (deg): 90.00 90.00 90.00
Space group Pm-3m (No. 221)
One atom of each set of equivalent atoms:
Na 0.0000 0.0000 0.5000 [3 per cell]
Y 0.0000 0.0000 0.0000 [1 per cell]
Ta 0.5000 0.5000 0.5000 [1 per cell]

- Distance to the lowest polymorph of the same formula: 464 meV/atom

# 21
A plane-wave DFT calculation with PBE-GGA was carried out for a relaxed NaY2Ta crystal.

a b c (Å): 7.5123 7.5123 7.5123
angles (deg): 90.00 90.00 90.00
Space group Fm-3m (No. 225)
One atom of each set of equivalent atoms:
Na 0.0000 0.0000 0.0000 [4 per cell]
Y 0.2500 0.2500 0.2500 [8 per cell]
Ta 0.0000 0.0000 0.5000 [4 per cell]

- Distance to the lowest polymorph of the same formula: 0 meV/atom

# 22
A plane-wave DFT calculation with PBE-GGA was carried out for a relaxed Na2YTa crystal.

a b c (Å): 7.3699 7.3699 7.3699
angles (deg): 90.00 90.00 90.00
Space group Fm-3m (No. 225)
One atom of each set of equivalent atoms:
Na 0.2500 0.2500 0.2500 [8 per cell]
Y 0.0000 0.0000 0.0000 [4 per cell]
Ta 0.0000 0.0000 0.5000 [4 per cell]

- E: -65.769 eV per cell

# 23
A plane-wave DFT calculation with PBE-GGA was carried out for a relaxed NaY2Ta crystal.

a b c (Å): 4.6370 4.6370 20.8247
angles (deg): 90.00 90.00 90.00
Space group I-42d (No. 122)
One atom of each set of equivalent atoms:
Na 0.0000 0.0000 0.0000 [4 per cell]
Y 0.2335 0.2500 0.6250 [8 per cell]
Ta 0.0000 0.0000 0.5000 [4 per cell]

- Distance to the lowest polymorph of the same formula: 549 meV/atom

# 24
A plane-wave DFT calculation with PBE-GGA was carried out for a relaxed Na3YTa crystal.

a b c (Å): 5.6680 5.6680 5.6680
angles (deg): 90.00 90.00 90.00
Space group Pm-3m (No. 221)
One atom of each set of equivalent atoms:
Na 0.0000 0.0000 0.5000 [3 per cell]
Y 0.5000 0.5000 0.5000 [1 per cell]
Ta 0.0000 0.0000 0.0000 [1 per cell]

- Distance to the lowest polymorph of the same formula: 0 meV/atom

# 25
A plane-wave DFT calculation with PBE-GGA was carried out for a relaxed Na2TaZn crystal.

a b c (Å): 8.2672 8.2672 5.4317
angles (deg): 90.00 90.00 90.00
Space group I-42d (No. 122)
One atom of each set of equivalent atoms:
Na 0.2144 0.2500 0.1250 [8 per cell]
Ta 0.0000 0.0000 0.5000 [4 per cell]
Zn 0.0000 0.0000 0.0000 [4 per cell]

- E: -44.464 eV per cell

# 26
A plane-wave DFT calculation with PBE-GGA was carried out for a relaxed NaTaZn2 crystal.

a b c (Å): 7.1323 7.1323 6.1482
angles (deg): 90.00 90.00 90.00
Space group I-42d (No. 122)
One atom of each set of equivalent atoms:
Na 0.0000 0.0000 0.0000 [4 per cell]
Ta 0.0000 0.0000 0.5000 [4 per cell]
Zn 0.2432 0.2500 0.6250 [8 per cell]

- Distance to the lowest polymorph of the same formula: 297 meV/atom

# 27
A plane-wave DFT calculation with PBE-GGA was carried out for a relaxed NaTaZn2 crystal.

a b c (Å): 6.5302 6.5302 6.5302
angles (deg): 90.00 90.00 90.00
Space group Fm-3m (No. 225)
One atom of each set of equivalent atoms:
Na 0.0000 0.0000 0.0000 [4 per cell]
Ta 0.0000 0.0000 0.5000 [4 per cell]
Zn 0.2500 0.2500 0.2500 [8 per cell]

- Distance to the lowest polymorph of the same formula: 0 meV/atom

# 28
A plane-wave DFT calculation with PBE-GGA was carried out for a relaxed NaTa3Zn crystal.

a b c (Å): 4.8027 4.8027 4.8027
angles (deg): 90.00 90.00 90.00
Space group Pm-3m (No. 221)
One atom of each set of equivalent atoms:
Na 0.0000 0.0000 0.0000 [1 per cell]
Ta 0.0000 0.5000 0.5000 [3 per cell]
Zn 0.5000 0.5000 0.5000 [1 per cell]

- Distance to the lowest polymorph of the same formula: 0 meV/atom